The following is a PBE calculation of a relaxed PrSm12Y6 crystal, from Alexandria via LeMat-Bulk.

a = 8.8341 Å, b = 8.8341 Å, c = 8.8341 Å
α = 98.95°, β = 98.95°, γ = 98.95°
Last column: nearest neighbours and their distance in Å.
Sites, in units of the cell vectors:
Pr 0.0000 0.0000 0.0000  6 Y 3.46
Sm 0.7568 0.2432 0.5000  6 Sm 3.38-3.57, 4 Y 3.47-3.64
Sm 0.3545 0.0798 0.3545  6 Sm 3.38-3.69, 2 Y 3.77
Sm 0.3545 0.3545 0.0798  6 Sm 3.38-3.69, 2 Y 3.77
Sm 0.9202 0.6455 0.6455  6 Sm 3.38-3.69, 2 Y 3.77
Sm 0.6455 0.6455 0.9202  6 Sm 3.38-3.69, 2 Y 3.77
Sm 0.6455 0.9202 0.6455  6 Sm 3.38-3.69, 2 Y 3.77
Sm 0.5000 0.7568 0.2432  6 Sm 3.38-3.57, 4 Y 3.47-3.64
Sm 0.2432 0.5000 0.7568  6 Sm 3.38-3.57, 4 Y 3.47-3.64
Sm 0.2432 0.7568 0.5000  6 Sm 3.38-3.57, 4 Y 3.47-3.64
Sm 0.5000 0.2432 0.7568  6 Sm 3.38-3.57, 4 Y 3.47-3.64
Sm 0.7568 0.5000 0.2432  6 Sm 3.38-3.57, 4 Y 3.47-3.64
Sm 0.0798 0.3545 0.3545  6 Sm 3.38-3.69, 2 Y 3.77
Y 0.8986 0.3391 0.8986  1 Y 3.21, 1 Pr 3.46, 2 Sm 3.47
Y 0.8986 0.8986 0.3391  1 Y 3.21, 1 Pr 3.46, 2 Sm 3.47
Y 0.3391 0.8986 0.8986  1 Y 3.21, 1 Pr 3.46, 2 Sm 3.47
Y 0.1014 0.1014 0.6609  1 Y 3.21, 1 Pr 3.46, 2 Sm 3.47
Y 0.1014 0.6609 0.1014  1 Y 3.21, 1 Pr 3.46, 2 Sm 3.47
Y 0.6609 0.1014 0.1014  1 Y 3.21, 1 Pr 3.46, 2 Sm 3.47

Properties
Magnetic moment   0.000 Bohr magnetons per cell
Total DFT energy (no corrections)   -5.075 eV/atom
Polymorph energy (0 for the lowest one)   57 meV/atom
Formation enthalpy at 0 K   0.20 eV/atom

=====

The following is a PBE calculation of a relaxed LiCu2Br2Cl crystal, from Alexandria via LeMat-Bulk.

a = 6.6015 Å, b = 6.9153 Å, c = 6.9007 Å
α = 120.07°, β = 90.00°, γ = 90.00°
Last column: nearest neighbours and their distance in Å.
Sites, in units of the cell vectors:
Li 0.3277 0.8469 0.0000  2 Cl 2.39-2.40, 2 Br 2.57
Li 0.8277 0.1531 0.0000  2 Cl 2.39-2.40, 2 Br 2.57
Cu 0.8017 0.8319 0.3223  1 Cl 2.35, 3 Br 2.47-2.48
Cu 0.8017 0.5097 0.6777  1 Cl 2.35, 3 Br 2.47-2.48
Cu 0.3017 0.4903 0.3223  1 Cl 2.35, 3 Br 2.47-2.48
Cu 0.3017 0.1681 0.6777  1 Cl 2.35, 3 Br 2.47-2.48
Br 0.1762 0.8332 0.3353  3 Cu 2.47-2.48, 1 Li 2.57
Br 0.1762 0.4978 0.6647  3 Cu 2.47-2.48, 1 Li 2.57
Br 0.6762 0.1668 0.6647  3 Cu 2.47-2.48, 1 Li 2.57
Br 0.6762 0.5022 0.3353  3 Cu 2.47-2.48, 1 Li 2.57
Cl 0.6897 0.8326 0.0000  2 Cu 2.35, 2 Li 2.39-2.40
Cl 0.1897 0.1674 0.0000  2 Cu 2.35, 2 Li 2.39-2.40

Properties
Raw formation energy   -0.74 eV/atom
Magnetic moment   0.000 Bohr magnetons per cell
Total DFT energy (no corrections)   -3.290 eV/atom

=====

The following is a PBE calculation of a relaxed RbInGe crystal, from Alexandria via LeMat-Bulk.

a = 5.8781 Å, b = 4.6240 Å, c = 4.6240 Å
α = 120.00°, β = 90.00°, γ = 90.00°
Last column: nearest neighbours and their distance in Å.
Sites, in units of the cell vectors:
Ge 0.1751 0.3333 0.6667  3 In 2.67
Rb 0.6648 0.6667 0.3333  6 Ge 3.93-4.02, 6 In 3.95-3.99
In 0.1601 0.0000 0.0000  3 Ge 2.67

Properties
Magnetic moment   0.000 Bohr magnetons per cell
Total DFT energy (no corrections)   -2.900 eV/atom
Formation enthalpy at 0 K   -0.13 eV/atom

=====

The following is a PBE calculation of a relaxed CaPrTlCd crystal, from Alexandria via LeMat-Bulk.

a = 5.4934 Å, b = 5.4934 Å, c = 5.4934 Å
α = 60.00°, β = 60.00°, γ = 60.00°
Last column: nearest neighbours and their distance in Å.
Sites, in units of the cell vectors:
Pr 0.0000 0.0000 0.0000  4 Tl 3.36, 4 Cd 3.36
Tl 0.2500 0.2500 0.2500  4 Pr 3.36, 4 Ca 3.36
Ca 0.5000 0.5000 0.5000  4 Cd 3.36, 4 Tl 3.36
Cd 0.7500 0.7500 0.7500  4 Pr 3.36, 4 Ca 3.36

Properties
Magnetic moment   0.000 Bohr magnetons per cell
Total DFT energy (no corrections)   -2.929 eV/atom
Formation enthalpy at 0 K   -0.41 eV/atom

=====

The following is a PBE calculation of a relaxed LaTlCuHg crystal, from Alexandria via LeMat-Bulk.

a = 5.1665 Å, b = 5.1665 Å, c = 5.1665 Å
α = 60.00°, β = 60.00°, γ = 60.00°
Last column: nearest neighbours and their distance in Å.
Sites, in units of the cell vectors:
Tl 0.5000 0.5000 0.5000  4 Cu 3.16, 4 Hg 3.16
Hg 0.7500 0.7500 0.7500  4 Tl 3.16, 4 La 3.16
Cu 0.2500 0.2500 0.2500  4 La 3.16, 4 Tl 3.16
La 0.0000 0.0000 0.0000  4 Hg 3.16, 4 Cu 3.16

Properties
Magnetic moment   0.000 Bohr magnetons per cell
Total DFT energy (no corrections)   -3.158 eV/atom
Formation enthalpy at 0 K   -0.24 eV/atom

=====

The following is a PBE calculation of a relaxed Ce3SiC crystal, from Alexandria via LeMat-Bulk.

a = 4.5856 Å, b = 6.6046 Å, c = 8.0260 Å
α = 114.30°, β = 90.00°, γ = 90.00°
Last column: nearest neighbours and their distance in Å.
Sites, in units of the cell vectors:
Ce 0.5000 0.2759 0.0000  2 C 2.41
Ce 0.0000 0.8519 0.7038  2 C 2.37
Ce 0.5000 0.7241 0.0000  2 C 2.41
Ce 0.5000 0.5000 0.5000  2 C 2.66
Ce 0.0000 0.1481 0.2962  2 C 2.37
Ce 0.5000 0.0000 0.5000  2 C 2.66
Si 0.0000 0.6370 0.2741  11 Ce 3.14-3.39
Si 0.0000 0.3630 0.7259  11 Ce 3.14-3.39
C 0.5000 0.1075 0.2150  4 Ce 2.37-2.41
C 0.5000 0.8925 0.7850  4 Ce 2.37-2.41

Properties
Raw formation energy   -0.32 eV/atom
Magnetic moment   4.300 Bohr magnetons per cell
Total DFT energy (no corrections)   -6.810 eV/atom

=====

The following is a PBE calculation of a relaxed ScI2NO crystal, from Alexandria via LeMat-Bulk.

a = 4.8197 Å, b = 4.8197 Å, c = 4.1429 Å
α = 90.00°, β = 90.00°, γ = 90.00°
Last column: nearest neighbours and their distance in Å.
Sites, in units of the cell vectors:
I 0.0000 0.5000 0.0000  2 O 2.41
I 0.5000 0.0000 0.0000  2 O 2.41
Sc 0.5000 0.5000 0.5000  8 I 3.18, 4 N 3.41
O 0.0000 0.0000 0.0000  2 N 2.07
N 0.0000 0.0000 0.5000  2 O 2.07

Properties
Raw formation energy   0.84 eV/atom
Magnetic moment   0.327 Bohr magnetons per cell
Total DFT energy (no corrections)   -3.703 eV/atom
Polymorph energy (0 for the lowest one)   948 meV/atom

=====

The following is a PBE calculation of a relaxed TiAg2Te3 crystal, from Alexandria via LeMat-Bulk.

a = 3.9592 Å, b = 8.0518 Å, c = 10.9850 Å
α = 99.88°, β = 90.00°, γ = 90.00°
Last column: nearest neighbours and their distance in Å.
Sites, in units of the cell vectors:
Ti 0.2500 0.7642 0.7872  5 Te 2.65-2.87
Ti 0.7500 0.2358 0.2128  5 Te 2.65-2.87
Ag 0.2500 0.3939 0.4260  4 Te 2.75-2.89, 2 Ag 2.92
Ag 0.7500 0.6061 0.5740  4 Te 2.75-2.89, 2 Ag 2.92
Ag 0.7500 0.0639 0.9260  4 Te 2.77-3.02, 2 Ag 2.86
Ag 0.2500 0.9361 0.0740  4 Te 2.77-3.02, 2 Ag 2.86
Te 0.7500 0.9439 0.6739  2 Ag 2.75-2.77, 2 Ti 2.86
Te 0.2500 0.0561 0.3261  2 Ag 2.75-2.77, 2 Ti 2.86
Te 0.7500 0.5608 0.3075  1 Ti 2.65, 3 Ag 2.83-2.89
Te 0.2500 0.4392 0.6925  1 Ti 2.65, 3 Ag 2.83-2.89
Te 0.2500 0.2989 0.0377  3 Ag 2.86-3.02, 2 Ti 2.87
Te 0.7500 0.7011 0.9623  3 Ag 2.86-3.02, 2 Ti 2.87

Properties
Raw formation energy   -0.34 eV/atom
Magnetic moment   0.000 Bohr magnetons per cell
Total DFT energy (no corrections)   -4.173 eV/atom

=====

Which formula does entry 5 have? LaTlCuHg